# Re2AsPt

An optimized crystal structure of Re2AsPt (PBE, Alexandria).

Energy relative to the elements, meV/atom: 108
Uncorrected energy, eV per atom: -8.789
N(E_F), states/eV per atom: 0.796

CIF file:
```
data_Re2AsPt
_chemical_formula_sum 'Re2 As1 Pt1'
_cell_length_a 2.889
_cell_length_b 2.889
_cell_length_c 7.538
_cell_angle_alpha 90.00
_cell_angle_beta 90.00
_cell_angle_gamma 90.00
_space_group_name_H-M_alt 'P 4 m m'
_space_group_IT_number 99
_space_group_name_Hall 'P 4 -2'
loop_
_atom_site_label
_atom_site_fract_x
_atom_site_fract_y
_atom_site_fract_z
Re1 0.000 0.000 0.000
Re2 0.500 0.500 0.228
As1 0.000 0.000 0.463
Pt1 0.500 0.500 0.741
```

***

# ScAgOs2

An optimized crystal structure of ScAgOs2 (PBE, Alexandria).

Excess energy over the best structure of this formula in the dataset, eV/atom: 0.515
Energy relative to the elements, meV/atom: 589
Uncorrected energy, eV per atom: -7.322
N(E_F), states/eV per atom: 0.935

CIF file:
```
data_ScAgOs2
_chemical_formula_sum 'Sc4 Ag4 Os8'
_cell_length_a 3.902
_cell_length_b 3.902
_cell_length_c 19.449
_cell_angle_alpha 90.00
_cell_angle_beta 90.00
_cell_angle_gamma 90.00
_space_group_name_H-M_alt 'I -4 2 d'
_space_group_IT_number 122
_space_group_name_Hall 'I -4 2bw'
loop_
_atom_site_label
_atom_site_fract_x
_atom_site_fract_y
_atom_site_fract_z
Sc1 0.000 0.000 0.000
Ag1 0.000 0.000 0.500
Os1 0.185 0.250 0.625
```